Below is a relaxed GeTeW2O crystal, with properties calculated at the PBE+U level.

Cell and atoms, written as CIF:
```
data_GeTeW2O
_space_group_name_H-M_alt 'P 4/m m m'
_space_group_IT_number 123
_space_group_name_Hall '-P 4 2'
_cell_length_a 5.492
_cell_length_b 5.492
_cell_length_c 5.647
_cell_angle_alpha 90.00
_cell_angle_beta 90.00
_cell_angle_gamma 90.00
loop_
_atom_site_label
_atom_site_type_symbol
_atom_site_fract_x
_atom_site_fract_y
_atom_site_fract_z
_atom_site_occupancy
Ge1 Ge 0.000 0.000 0.000 1
Te1 Te 0.000 0.000 0.500 1
W1 W 0.000 0.500 0.500 1
O1 O 0.500 0.500 0.000 1
```

Properties
**E_tot**: -16.559 eV for the cell shown